(1)
Material: BeAg2Te
Method: DFT, PBE
State: optimized geometry

Geometry as POSCAR:
```
BeAg2Te
1.0
2.037 -2.221 0.000
2.037 2.221 0.000
0.000 0.000 8.462
Be Ag Te
1 2 1
Direct
0.000 0.000 0.000
0.500 0.500 0.174
0.500 0.500 0.826
0.000 0.000 0.500
```

Values from the calculation:
* VASP energy: -0.211 Ry per atom
* raw formation energy: 107 kJ/mol of formula units
* calculated volume: 76.6 Å³ per cell
* symmetry: No. 65
* D(E_F): 1.20 states/eV per cell

(2)
Material: Er5Ga2Sb
Method: DFT, PBE
State: optimized geometry

Geometry as POSCAR:
```
Er5Ga2Sb
1.0
-4.028 4.028 6.323
4.028 -4.028 6.323
4.028 4.028 -6.323
Er Ga Sb
10 4 2
Direct
0.000 0.000 0.000
0.010 0.510 0.807
0.203 0.010 0.500
0.297 0.797 0.807
0.490 0.297 0.500
0.500 0.500 0.000
0.510 0.703 0.500
0.703 0.203 0.193
0.797 0.990 0.500
0.990 0.490 0.193
0.147 0.353 0.500
0.353 0.853 0.205
0.647 0.147 0.795
0.853 0.647 0.500
0.250 0.250 0.000
0.750 0.750 0.000
```

Values from the calculation:
* VASP energy: -0.350 Ry per atom
* raw formation energy: -494 kJ/mol of formula units
* calculated volume: 410.4 Å³ per cell
* symmetry: No. 140
* D(E_F): 13.12 states/eV per cell

Question: Which formula does entry 2 have?
Answer: Er5Ga2Sb